This record from the Alexandria database describes crystalline Tm2TeBr at its relaxed geometry. The functional is PBE.

Summary:
**Density**: 8.47 g/cm3
**Uncorrected formation energy**: -940 meV per atom
**Total magnetization**: 1.0 μB/cell
**Uncorrected energy**: -0.161 Ha/atom

a b c (Å): 3.8098 3.8098 25.5220
angles (deg): 90.00 90.00 120.00
Space group R3m (No. 160, hexagonal axes)
Asymmetric unit:
Tm (0.0000, 0.0000, 0.0000) (multiplicity 3)
Tm (0.0000, 0.0000, 0.1707) (multiplicity 3)
Te (0.0000, 0.0000, 0.5850) (multiplicity 3)
Br (0.0000, 0.0000, 0.4180) (multiplicity 3)


This record from the Alexandria database describes crystalline BaYW2 at its relaxed geometry. The functional is PBE.

Summary:
**Density**: 9.73 g/cm3
**Energy relative to the elements**: 1.83 eV per atom
**Total magnetization**: 0.0 μB/cell
**Uncorrected energy**: -0.248 Ha/atom

a b c (Å): 8.433 8.433 5.701
angles (deg): 90.00 90.00 90.00
Space group I-42d (No. 122)
Asymmetric unit:
Ba (0.000, 0.000, 0.000) (multiplicity 4)
Y (0.000, 0.000, 0.500) (multiplicity 4)
W (0.235, 0.750, 0.625) (multiplicity 8)


Repeat the second record exactly.
This record from the Alexandria database describes crystalline BaYW2 at its relaxed geometry. The functional is PBE.

Summary:
**Density**: 9.73 g/cm3
**Energy relative to the elements**: 1.83 eV per atom
**Total magnetization**: 0.0 μB/cell
**Uncorrected energy**: -0.248 Ha/atom

a b c (Å): 8.433 8.433 5.701
angles (deg): 90.00 90.00 90.00
Space group I-42d (No. 122)
Asymmetric unit:
Ba (0.000, 0.000, 0.000) (multiplicity 4)
Y (0.000, 0.000, 0.500) (multiplicity 4)
W (0.235, 0.750, 0.625) (multiplicity 8)


Question: Number 1 is which compound?
Answer: Tm2TeBr